# 1
Entry from Alexandria: a crystal of SbSeBr relaxed with PBEsol (SCAN).

Calculated values
- D(E_F): 0.1 states/eV per cell
- Formation energy without anion corrections: -0.0860 eV per atom
- M_tot: 0.0000 μB per atom
- VASP energy: -25.686 eV per atom

a = 4.898 Å, b = 4.898 Å, c = 4.898 Å
α = 60.00°, β = 60.00°, γ = 60.00°
Fractional coordinates of all 3 atoms:
Sb (0.000, 0.000, 0.000)
Se (0.750, 0.750, 0.750)
Br (0.250, 0.250, 0.250)

# 2
Entry from Alexandria: a crystal of LiCdSe2Br relaxed with PBEsol (SCAN).

Calculated values
- D(E_F): 6.3 states/eV per cell
- Formation energy without anion corrections: -0.1903 eV per atom
- M_tot: 0.0028 μB per atom
- VASP energy: -18.674 eV per atom

a = 5.124 Å, b = 5.124 Å, c = 5.661 Å
α = 90.00°, β = 90.00°, γ = 90.00°
Fractional coordinates of all 5 atoms:
Li (0.000, 0.000, 0.000)
Cd (0.500, 0.500, 0.500)
Se (0.000, 0.500, 0.500)
Se (0.500, 0.000, 0.500)
Br (0.500, 0.500, 0.000)

# 3
Entry from Alexandria: a crystal of Mg4TeRh relaxed with PBEsol (SCAN).

Calculated values
- D(E_F): 4.6 states/eV per cell
- Formation energy without anion corrections: 0.1371 eV per atom
- M_tot: 0.0001 μB per atom
- VASP energy: -15.016 eV per atom

a = 5.539 Å, b = 5.539 Å, c = 5.539 Å
α = 60.00°, β = 60.00°, γ = 60.00°
Fractional coordinates of all 6 atoms:
Mg (0.124, 0.124, 0.124)
Mg (0.124, 0.124, 0.628)
Mg (0.124, 0.628, 0.124)
Mg (0.628, 0.124, 0.124)
Te (0.500, 0.500, 0.500)
Rh (0.750, 0.750, 0.750)

# 4
Entry from Alexandria: a crystal of ZrTlCrP2 relaxed with PBEsol (SCAN).

Calculated values
- D(E_F): 5.2 states/eV per cell
- Energy of formation: 0.1980 eV/atom
- M_tot: 0.0000 μB per atom
- VASP energy: -28.250 eV per atom

a = 4.369 Å, b = 4.369 Å, c = 4.962 Å
α = 90.00°, β = 90.00°, γ = 90.00°
Fractional coordinates of all 5 atoms:
Zr (0.000, 0.000, 0.000)
Tl (0.500, 0.500, 0.000)
Cr (0.000, 0.000, 0.500)
P (0.000, 0.500, 0.500)
P (0.500, 0.000, 0.500)

# 5
Entry from Alexandria: a crystal of RbPt2BrN relaxed with PBEsol (SCAN).

Calculated values
- D(E_F): 3.8 states/eV per cell
- Formation energy without anion corrections: 2.5683 eV per atom
- M_tot: 0.2883 μB per atom
- VASP energy: -35.407 eV per atom

a = 5.192 Å, b = 5.192 Å, c = 6.039 Å
α = 90.00°, β = 90.00°, γ = 90.00°
Fractional coordinates of all 5 atoms:
Rb (0.000, 0.000, 0.000)
Pt (0.000, 0.500, 0.000)
Pt (0.500, 0.000, 0.000)
Br (0.000, 0.000, 0.500)
N (0.500, 0.500, 0.500)

# 6
Entry from Alexandria: a crystal of SiTe4Cl relaxed with PBEsol (SCAN).

Calculated values
- D(E_F): 1.5 states/eV per cell
- Formation energy without anion corrections: 0.5055 eV per atom
- M_tot: 0.0000 μB per atom
- VASP energy: -27.328 eV per atom

a = 6.138 Å, b = 6.138 Å, c = 6.138 Å
α = 60.00°, β = 60.00°, γ = 60.00°
Fractional coordinates of all 6 atoms:
Si (0.000, 0.000, 0.000)
Te (0.124, 0.625, 0.625)
Te (0.625, 0.124, 0.625)
Te (0.625, 0.625, 0.124)
Te (0.625, 0.625, 0.625)
Cl (0.250, 0.250, 0.250)

Which value of D(E_F) does entry 2 give?
6.3 states/eV per cell

Please write out number 2 again, unchanged.
Entry from Alexandria: a crystal of LiCdSe2Br relaxed with PBEsol (SCAN).

Calculated values
- D(E_F): 6.3 states/eV per cell
- Formation energy without anion corrections: -0.1903 eV per atom
- M_tot: 0.0028 μB per atom
- VASP energy: -18.674 eV per atom

a = 5.124 Å, b = 5.124 Å, c = 5.661 Å
α = 90.00°, β = 90.00°, γ = 90.00°
Fractional coordinates of all 5 atoms:
Li (0.000, 0.000, 0.000)
Cd (0.500, 0.500, 0.500)
Se (0.000, 0.500, 0.500)
Se (0.500, 0.000, 0.500)
Br (0.500, 0.500, 0.000)